Version a
Entry from the Alexandria database: Mg5TlNi after structural relaxation (PBE-GGA).

Cell: 4.4727 4.4727 7.3455 Å, 90.00 90.00 90.00°
Space group P4/mmm (No. 123)
Unique sites:
Mg 0.0000 0.0000 0.0000 x1
Mg 0.0000 0.5000 0.3039 x4
Tl 0.5000 0.5000 0.0000 x1
Ni 0.0000 0.0000 0.5000 x1

Summary:
M_tot   0.00 μB per atom

=====

Version b
Entry from the Alexandria database: Mg5TlNi after structural relaxation (PBE-GGA).

Cell: 10.0228 7.2142 9.9571 Å, 90.00 117.40 90.00°
Space group C2/c (No. 15)
Unique sites:
Mg 0.0000 0.1826 0.2500 x4
Mg 0.1247 0.1066 0.9860 x8
Mg 0.2335 0.1230 0.7522 x8
Tl 0.0000 0.4155 0.7500 x4
Ni 0.2500 0.2500 0.5000 x4

Summary:
M_tot   0.00 μB per atom

=====

Most stable to least stable, the ends of the list are version a and version b.

=====

Version a
Entry from the Alexandria database: Tm3MgNi after structural relaxation (PBE-GGA).

Cell: 8.3838 3.7071 8.9806 Å, 90.00 115.18 90.00°
Space group P2_1/m (No. 11)
Unique sites:
Tm 0.0134 0.2500 0.1720 x2
Tm 0.2212 0.7500 0.5444 x2
Tm 0.3677 0.7500 0.2219 x2
Mg 0.3270 0.2500 0.9011 x2
Ni 0.3867 0.2500 0.4403 x2

Summary:
M_tot   0.00 μB per atom

=====

Version b
Entry from the Alexandria database: Tm3MgNi after structural relaxation (PBE-GGA).

Cell: 11.7015 5.3804 8.9542 Å, 90.00 113.83 90.00°
Space group C2/m (No. 12)
Unique sites:
Tm 0.1075 0.0000 0.2252 x4
Tm 0.1134 0.5000 0.9113 x4
Tm 0.1619 0.0000 0.6710 x4
Mg 0.1105 0.5000 0.4549 x4
Ni 0.1402 0.0000 0.9513 x4

Summary:
M_tot   0.00 μB per atom

=====

Most stable to least stable, the ends of the list are version a and version b.

=====

Version a
Entry from the Alexandria database: Tm3Mg2Ni2 after structural relaxation (PBE-GGA).

Cell: 3.8712 21.9963 3.6267 Å, 90.00 90.00 90.00°
Space group Cmmm (No. 65)
Unique sites:
Tm 0.0000 0.0000 0.0000 x2
Tm 0.0000 0.1790 0.0000 x4
Mg 0.0000 0.4112 0.5000 x4
Ni 0.0000 0.2824 0.5000 x4

Summary:
M_tot   0.00 μB per atom

=====

Version b
Entry from the Alexandria database: Tm3Mg2Ni2 after structural relaxation (PBE-GGA).

Cell: 11.9271 3.4391 8.3868 Å, 90.00 116.76 90.00°
Space group C2/m (No. 12)
Unique sites:
Tm 0.0000 0.0000 0.0000 x2
Tm 0.1152 0.0000 0.4411 x4
Mg 0.1689 0.5000 0.8234 x4
Ni 0.1764 0.5000 0.2371 x4

Summary:
M_tot   0.00 μB per atom

=====

Most stable to least stable, the ends of the list are version a and version b.

=====

Version a
Entry from the Alexandria database: Tm12MgNi6 after structural relaxation (PBE-GGA).

Cell: 13.6038 13.6038 8.6245 Å, 90.00 90.00 120.00°
Space group R-3 (No. 148, hexagonal axes)
Unique sites:
Tm 0.0382 0.2605 0.4264 x18
Tm 0.0609 0.1792 0.8319 x18
Mg 0.0000 0.0000 0.5000 x3
Ni 0.0754 0.5022 0.7881 x18

Summary:
M_tot   0.00 μB per atom

=====

Version b
Entry from the Alexandria database: Tm12MgNi6 after structural relaxation (PBE-GGA).

Cell: 9.5989 9.5989 9.5989 Å, 90.00 90.00 90.00°
Space group Im-3 (No. 204)
Unique sites:
Tm 0.0000 0.3039 0.1873 x24
Mg 0.0000 0.0000 0.0000 x2
Ni 0.0000 0.1235 0.5000 x12

Summary:
M_tot   0.00 μB per atom

=====

Most stable to least stable, the ends of the list are version b and version a.

=====

Version a
Entry from the Alexandria database: YMg4Ni after structural relaxation (PBE-GGA).

Cell: 15.4548 6.8691 5.3193 Å, 90.00 110.03 90.00°
Space group C2/m (No. 12)
Unique sites:
Y 0.2087 0.0000 0.2085 x4
Mg 0.0000 0.2007 0.0000 x4
Mg 0.1083 0.2323 0.6079 x8
Mg 0.1572 0.5000 0.1576 x4
Ni 0.9997 0.5000 0.2725 x4

Summary:
M_tot   0.00 μB per atom

=====

Version b
Entry from the Alexandria database: YMg4Ni after structural relaxation (PBE-GGA).

Cell: 8.0710 8.0710 8.0710 Å, 90.00 90.00 90.00°
Space group F-43m (No. 216)
Unique sites:
Y 0.0000 0.0000 0.0000 x4
Mg 0.1243 0.1243 0.6243 x16
Ni 0.2500 0.2500 0.2500 x4

Summary:
M_tot   0.05 μB per atom

=====

Most stable to least stable, the ends of the list are version a and version b.

=====

Version a
Entry from the Alexandria database: Y3MgNi after structural relaxation (PBE-GGA).

Cell: 6.7755 5.0549 7.6967 Å, 90.00 95.12 90.00°
Space group Pm (No. 6)
Unique sites:
Y 0.0000 0.0000 0.0000 x1
Y 0.0477 0.5000 0.6875 x1
Y 0.2427 0.0000 0.4049 x1
Y 0.4662 0.0000 0.8117 x1
Y 0.6944 0.5000 0.0909 x1
Y 0.7635 0.0000 0.4134 x1
Mg 0.2484 0.5000 0.1279 x1
Mg 0.5380 0.5000 0.5484 x1
Ni 0.4624 0.0000 0.1383 x1
Ni 0.9673 0.5000 0.3514 x1

Summary:
M_tot   0.00 μB per atom

=====

Version b
Entry from the Alexandria database: Y3MgNi after structural relaxation (PBE-GGA).

Cell: 5.2801 5.2801 5.2801 Å, 90.00 90.00 90.00°
Space group Pm-3m (No. 221)
Unique sites:
Y 0.0000 0.0000 0.5000 x3
Mg 0.5000 0.5000 0.5000 x1
Ni 0.0000 0.0000 0.0000 x1

Summary:
M_tot   0.00 μB per atom

=====

Most stable to least stable, the ends of the list are version a and version b.